{
  "formula": "Al2TePb2",
  "functional": "PBE-GGA",
  "state": "optimized geometry",
  "de_polymorph_kj_per_mol_atoms": 9.04,
  "raw_formation_energy_ev_per_atom": 0.2117,
  "crystal_system": "tetragonal",
  "final_energy_ev_per_atom": -3.40,
  "lattice": [[-1.3478, -9.0847, -1.6948], [6.8674, -2.1307, 5.9599], [-2.1228, -0.1326, 2.3987]],
  "species": ["Pb", "Pb", "Pb", "Pb", "Te", "Te", "Al", "Al", "Al", "Al"],
  "fractional_positions": [[0.1983, 0.3017, 0.0000], [0.8017, 0.6983, 0.0000], [0.3017, 0.8017, 0.0000], [0.6983, 0.1983, 0.0000], [0.0000, 0.0000, 0.0000], [0.5000, 0.5000, 0.0000], [0.8992, 0.3992, 0.5000], [0.6008, 0.8992, 0.5000], [0.3992, 0.1008, 0.5000], [0.1008, 0.6008, 0.5000]]
}